# Nd4SmEr2Tm2

A relaxed structure of Nd4SmEr2Tm2 (PBE-GGA, the Alexandria database).

Cell lengths 5.0643, 8.0378, 8.0370 Å; angles 107.26, 90.00, 108.36 degrees
Element x y z (fractional)
Nd  0.7767  0.5534  0.6684
Nd  0.2233  0.4466  0.3316
Nd  0.5536  0.1072  0.3306
Nd  0.4464  0.8928  0.6694
Sm  0.0000  0.0000  0.0000
Er  0.8885  0.7769  0.3310
Er  0.1115  0.2231  0.6690
Tm  0.3317  0.6633  0.0004
Tm  0.6683  0.3367  0.9996

* SG: C2/m, No. 12
* theoretical density: 7.88 g/cm³
* formation energy: 0.021 eV/atom
* density of states at the Fermi level: 12.8 states/eV per cell

# Rb2S5

A relaxed structure of Rb2S5 (PBE-GGA, the Alexandria database).

Cell lengths 6.7917, 6.8245, 19.4077 Å; angles 90.00, 90.00, 90.00 degrees
Element x y z (fractional)
Rb  0.4075  0.6975  0.3201
Rb  0.9075  0.8025  0.6799
Rb  0.5925  0.1975  0.1799
Rb  0.0925  0.3025  0.8201
Rb  0.8684  0.5726  0.0085
Rb  0.3684  0.9274  0.9915
Rb  0.1316  0.0726  0.4915
Rb  0.6316  0.4274  0.5085
S  0.5415  0.6937  0.1481
S  0.0415  0.8063  0.8519
S  0.4585  0.1937  0.3519
S  0.9585  0.3063  0.6481
S  0.2526  0.6134  0.1326
S  0.7526  0.8866  0.8674
S  0.7474  0.1134  0.3674
S  0.2474  0.3866  0.6326
S  0.5856  0.9200  0.5460
S  0.0856  0.5800  0.4540
S  0.4144  0.4200  0.9540
S  0.9144  0.0800  0.0460
S  0.4290  0.9199  0.6365
S  0.9290  0.5801  0.3635
S  0.5710  0.4199  0.8635
S  0.0710  0.0801  0.1365
S  0.4369  0.1947  0.6841
S  0.9369  0.3053  0.3159
S  0.5631  0.6947  0.8159
S  0.0631  0.8053  0.1841

* SG: P2_12_12_1, No. 19
* theoretical density: 2.45 g/cm³
* ΔE_f (raw): -601 meV per atom
* density of states at the Fermi level: 0.0 states/eV per cell